Here is a relaxed TbTm6In5 crystal from the Alexandria database. Energies are from GGA-PBE.

Properties
**Density**: 9.08 g cm⁻³
**VASP energy**: -4.124 eV per atom
**Total moment**: 0.0 μB/f.u.
**ΔH_f (0 K)**: -361 meV/atom
**Space-group type**: Immm, No. 71

Cell lengths 8.968, 8.968, 8.968 Å; angles 148.16, 121.76, 67.92 degrees
Atoms (fractional coordinates):
1 Tb 0.000 0.000 0.000
2 Tm 0.094 0.831 0.263
3 Tm 0.273 0.500 0.773
4 Tm 0.433 0.169 0.263
5 Tm 0.567 0.831 0.737
6 Tm 0.727 0.500 0.227
7 Tm 0.906 0.169 0.737
8 In 0.152 0.652 0.500
9 In 0.322 0.322 0.000
10 In 0.500 0.000 0.500
11 In 0.678 0.678 0.000
12 In 0.848 0.348 0.500